Record 1
A plane-wave DFT calculation with PBE was carried out for a relaxed LaDyCo2 crystal. Values from VASP.

Summary:
The calculated total energy comes out at -5.9672 eV per atom. For the formation energy, the calculation gives -0.032 eV/atom. The total magnetization is 0.7 μB per cell.

Geometry as Quantum ESPRESSO input:
```
&SYSTEM
  ibrav = 0, nat = 4, ntyp = 3
/
ATOMIC_SPECIES
La 138.91 La.upf
Dy 162.50 Dy.upf
Co 58.93 Co.upf
CELL_PARAMETERS angstrom
0.000 3.425 3.425
3.425 0.000 3.425
3.425 3.425 0.000
ATOMIC_POSITIONS angstrom
La 0.000 0.000 0.000
Dy 3.425 3.425 3.425
Co 1.712 1.712 1.712
Co 5.137 5.137 5.137
```

---

Record 2
A plane-wave DFT calculation with PBE was carried out for a relaxed LiPmSi crystal. Values from VASP.

Summary:
The calculated total energy comes out at -4.4384 eV per atom. The calculation puts the uncorrected formation energy at -0.409 eV per atom. The total magnetization is 0.0 μB per cell.

Geometry as Quantum ESPRESSO input:
```
&SYSTEM
  ibrav = 0, nat = 3, ntyp = 3
/
ATOMIC_SPECIES
Li 6.94 Li.upf
Pm 145.00 Pm.upf
Si 28.09 Si.upf
CELL_PARAMETERS angstrom
0.000 3.356 3.356
3.356 0.000 3.356
3.356 3.356 0.000
ATOMIC_POSITIONS angstrom
Li 0.000 0.000 0.000
Pm 3.356 3.356 3.356
Si 1.678 1.678 1.678
```

---

Record 3
A plane-wave DFT calculation with PBE was carried out for a relaxed Lu6GaNi2 crystal. Values from VASP.

Summary:
The calculated total energy comes out at -5.0507 eV per atom. For the formation energy, the calculation gives -0.416 eV/atom. The total magnetization is 0.0 μB per cell.

Geometry as Quantum ESPRESSO input:
```
&SYSTEM
  ibrav = 0, nat = 18, ntyp = 3
/
ATOMIC_SPECIES
Lu 174.97 Lu.upf
Ga 69.72 Ga.upf
Ni 58.69 Ni.upf
CELL_PARAMETERS angstrom
-4.540 4.653 4.868
4.540 -4.653 4.868
4.540 4.653 -4.868
ATOMIC_POSITIONS angstrom
Lu 4.540 2.818 -2.553
Lu 2.567 1.684 0.000
Lu 6.514 1.684 0.000
Lu 1.772 4.653 -1.687
Lu 2.768 0.000 3.181
Lu 0.000 1.835 2.315
Lu 4.540 2.818 2.553
Lu 1.772 4.653 1.687
Lu 2.768 0.000 6.556
Lu -1.974 2.969 4.868
Lu 1.974 2.969 4.868
Lu 0.000 1.835 7.422
Ga 0.000 0.000 0.000
Ga 0.000 0.000 4.868
Ni 4.540 0.000 1.193
Ni 0.000 3.231 0.000
Ni 0.000 6.075 0.000
Ni 0.000 4.653 3.675
```

---

Copy entry 3 word for word.
A plane-wave DFT calculation with PBE was carried out for a relaxed Lu6GaNi2 crystal. Values from VASP.

Summary:
The calculated total energy comes out at -5.0507 eV per atom. For the formation energy, the calculation gives -0.416 eV/atom. The total magnetization is 0.0 μB per cell.

Geometry as Quantum ESPRESSO input:
```
&SYSTEM
  ibrav = 0, nat = 18, ntyp = 3
/
ATOMIC_SPECIES
Lu 174.97 Lu.upf
Ga 69.72 Ga.upf
Ni 58.69 Ni.upf
CELL_PARAMETERS angstrom
-4.540 4.653 4.868
4.540 -4.653 4.868
4.540 4.653 -4.868
ATOMIC_POSITIONS angstrom
Lu 4.540 2.818 -2.553
Lu 2.567 1.684 0.000
Lu 6.514 1.684 0.000
Lu 1.772 4.653 -1.687
Lu 2.768 0.000 3.181
Lu 0.000 1.835 2.315
Lu 4.540 2.818 2.553
Lu 1.772 4.653 1.687
Lu 2.768 0.000 6.556
Lu -1.974 2.969 4.868
Lu 1.974 2.969 4.868
Lu 0.000 1.835 7.422
Ga 0.000 0.000 0.000
Ga 0.000 0.000 4.868
Ni 4.540 0.000 1.193
Ni 0.000 3.231 0.000
Ni 0.000 6.075 0.000
Ni 0.000 4.653 3.675
```